[1]
## Ta2Pb2O7 (PBE)

Data for a relaxed structure of Ta2Pb2O7.

Calculated values
DFT total energy ... -181.3 eV for the cell shown
Crystal system ... cubic
Formation energy (no corrections) ... -2255 meV per atom

abc: 7.653 7.653 7.653
angles: 60.00 60.00 60.00
Sites, in units of the cell vectors:
1 Ta 0.000 0.000 0.000
2 Ta 0.000 0.000 0.500
3 Ta 0.000 0.500 0.000
4 Ta 0.500 0.000 0.000
5 Pb 0.000 0.500 0.500
6 Pb 0.500 0.000 0.500
7 Pb 0.500 0.500 0.000
8 Pb 0.500 0.500 0.500
9 O 0.060 0.060 0.690
10 O 0.060 0.690 0.060
11 O 0.060 0.690 0.690
12 O 0.310 0.310 0.940
13 O 0.310 0.940 0.310
14 O 0.310 0.940 0.940
15 O 0.375 0.375 0.375
16 O 0.625 0.625 0.625
17 O 0.690 0.060 0.060
18 O 0.690 0.060 0.690
19 O 0.690 0.690 0.060
20 O 0.940 0.310 0.310
21 O 0.940 0.310 0.940
22 O 0.940 0.940 0.310

[2]
## PrNd6Ho6 (PBE)

Data for a relaxed structure of PrNd6Ho6.

Calculated values
DFT total energy ... -57.6 eV for the cell shown
Crystal system ... hexagonal
ΔE_f ... 0.25 eV/atom

abc: 6.739 6.739 11.477
angles: 90.00 90.00 120.00
Sites, in units of the cell vectors:
1 Pr 0.000 0.000 0.000
2 Nd 0.000 0.000 0.348
3 Nd 0.000 0.000 0.652
4 Nd 0.333 0.667 0.000
5 Nd 0.333 0.667 0.500
6 Nd 0.667 0.333 0.000
7 Nd 0.667 0.333 0.500
8 Ho 0.000 0.500 0.248
9 Ho 0.000 0.500 0.752
10 Ho 0.500 0.000 0.248
11 Ho 0.500 0.000 0.752
12 Ho 0.500 0.500 0.248
13 Ho 0.500 0.500 0.752

[3]
## MgInNF2 (PBE)

Data for a relaxed structure of MgInNF2.

Calculated values
DFT total energy ... -21.4 eV for the cell shown
Crystal system ... tetragonal
Formation energy (no corrections) ... -1004 meV per atom

abc: 4.234 4.234 4.244
angles: 90.00 90.00 90.00
Sites, in units of the cell vectors:
1 Mg 0.000 0.000 0.000
2 In 0.500 0.500 0.500
3 N 0.500 0.500 0.000
4 F 0.000 0.500 0.500
5 F 0.500 0.000 0.500

[4]
## LaTb6Ho2 (PBE)

Data for a relaxed structure of LaTb6Ho2.

Calculated values
DFT total energy ... -81.9 eV for the cell shown
Crystal system ... monoclinic
ΔE_f ... 0.10 eV/atom

abc: 9.568 9.568 6.629
angles: 98.82 98.82 95.48
Sites, in units of the cell vectors:
1 La 0.123 0.877 0.750
2 La 0.877 0.123 0.250
3 Tb 0.051 0.222 0.823
4 Tb 0.060 0.463 0.271
5 Tb 0.222 0.051 0.323
6 Tb 0.281 0.649 0.000
7 Tb 0.351 0.719 0.500
8 Tb 0.463 0.060 0.771
9 Tb 0.537 0.940 0.229
10 Tb 0.649 0.281 0.500
11 Tb 0.719 0.351 0.000
12 Tb 0.778 0.949 0.677
13 Tb 0.940 0.537 0.729
14 Tb 0.949 0.778 0.177
15 Ho 0.336 0.385 0.634
16 Ho 0.385 0.336 0.134
17 Ho 0.615 0.664 0.866
18 Ho 0.664 0.615 0.366

[5]
## TmGe2Os (PBE)

Data for a relaxed structure of TmGe2Os.

Calculated values
DFT total energy ... -107.4 eV for the cell shown
Crystal system ... orthorhombic
ΔE_f ... -0.48 eV/atom

abc: 8.396 8.396 9.017
angles: 90.00 90.00 151.46
Sites, in units of the cell vectors:
1 Tm 0.000 0.000 0.000
2 Tm 0.000 0.000 0.500
3 Tm 0.206 0.794 0.750
4 Tm 0.794 0.206 0.250
5 Ge 0.205 0.795 0.094
6 Ge 0.205 0.795 0.406
7 Ge 0.418 0.582 0.750
8 Ge 0.424 0.576 0.250
9 Ge 0.576 0.424 0.750
10 Ge 0.582 0.418 0.250
11 Ge 0.795 0.205 0.594
12 Ge 0.795 0.205 0.906
13 Os 0.359 0.641 0.001
14 Os 0.359 0.641 0.499
15 Os 0.641 0.359 0.501
16 Os 0.641 0.359 0.999

[6]
## SrMgGa2Ir (PBE)

Data for a relaxed structure of SrMgGa2Ir.

Calculated values
DFT total energy ... -20.1 eV for the cell shown
Crystal system ... tetragonal
ΔE_f ... -0.39 eV/atom

abc: 6.642 6.642 6.642
angles: 143.17 143.17 53.07
Sites, in units of the cell vectors:
1 Sr 0.000 0.000 0.000
2 Mg 0.250 0.750 0.500
3 Ga 0.383 0.383 0.000
4 Ga 0.617 0.617 0.000
5 Ir 0.750 0.250 0.500

[7]
## Ho2GeHPd6 (PBE)

Data for a relaxed structure of Ho2GeHPd6.

Calculated values
DFT total energy ... -55.4 eV for the cell shown
Crystal system ... monoclinic

abc: 5.686 5.686 6.850
angles: 115.07 115.07 59.72
Sites, in units of the cell vectors:
1 Ho 0.220 0.220 0.171
2 Ho 0.780 0.780 0.829
3 Ge 0.500 0.500 0.000
4 H 0.000 0.000 0.500
5 Pd 0.232 0.232 0.684
6 Pd 0.236 0.738 0.696
7 Pd 0.262 0.764 0.304
8 Pd 0.738 0.236 0.696
9 Pd 0.764 0.262 0.304
10 Pd 0.768 0.768 0.316

[8]
## BaNa2Ga (PBE)

Data for a relaxed structure of BaNa2Ga.

Calculated values
DFT total energy ... -6.7 eV for the cell shown
Crystal system ... trigonal
ΔE_f ... 0.23 eV/atom

abc: 12.311 12.311 12.311
angles: 17.84 17.84 17.84
Sites, in units of the cell vectors:
1 Ba 0.000 0.000 0.000
2 Na 0.104 0.104 0.104
3 Na 0.896 0.896 0.896
4 Ga 0.500 0.500 0.500

[9]
## Na3Ce2MnS6 (PBE)

Data for a relaxed structure of Na3Ce2MnS6.

Calculated values
DFT total energy ... -67.2 eV for the cell shown
Crystal system ... monoclinic
Formation energy (no corrections) ... -1450 meV per atom

abc: 6.901 6.901 7.030
angles: 99.39 99.39 120.04
Sites, in units of the cell vectors:
1 Na 0.000 0.000 0.000
2 Na 0.335 0.665 0.000
3 Na 0.665 0.335 0.000
4 Ce 0.167 0.833 0.500
5 Ce 0.833 0.167 0.500
6 Mn 0.500 0.500 0.500
7 S 0.104 0.425 0.274
8 S 0.254 0.254 0.724
9 S 0.425 0.104 0.274
10 S 0.575 0.896 0.726
11 S 0.746 0.746 0.276
12 S 0.896 0.575 0.726

[10]
## Pm2ScGe (PBE)

Data for a relaxed structure of Pm2ScGe.

Calculated values
DFT total energy ... -20.2 eV for the cell shown
Crystal system ... trigonal
ΔE_f ... 0.05 eV/atom

abc: 11.057 11.057 11.057
angles: 18.23 18.23 18.23
Sites, in units of the cell vectors:
1 Pm 0.098 0.098 0.098
2 Pm 0.902 0.902 0.902
3 Sc 0.000 0.000 0.000
4 Ge 0.500 0.500 0.500

[11]
## Pm3Ho2Er5 (PBE)

Data for a relaxed structure of Pm3Ho2Er5.

Calculated values
DFT total energy ... -88.5 eV for the cell shown
Crystal system ... monoclinic
ΔE_f ... 0.20 eV/atom

abc: 9.541 9.541 9.381
angles: 108.37 108.37 112.21
Sites, in units of the cell vectors:
1 Pm 0.022 0.269 0.046
2 Pm 0.234 0.766 0.750
3 Pm 0.269 0.022 0.546
4 Pm 0.731 0.978 0.454
5 Pm 0.766 0.234 0.250
6 Pm 0.978 0.731 0.954
7 Ho 0.231 0.466 0.452
8 Ho 0.466 0.231 0.952
9 Ho 0.534 0.769 0.048
10 Ho 0.769 0.534 0.548
11 Er 0.027 0.973 0.750
12 Er 0.147 0.371 0.767
13 Er 0.272 0.728 0.250
14 Er 0.371 0.147 0.267
15 Er 0.471 0.529 0.250
16 Er 0.529 0.471 0.750
17 Er 0.629 0.853 0.733
18 Er 0.728 0.272 0.750
19 Er 0.853 0.629 0.233
20 Er 0.973 0.027 0.250

[12]
## CoIrOs2 (PBE)

Data for a relaxed structure of CoIrOs2.

Calculated values
DFT total energy ... -37.0 eV for the cell shown
Crystal system ... orthorhombic
ΔE_f ... 0.35 eV/atom

abc: 5.318 5.318 5.318
angles: 150.30 131.86 57.60
Sites, in units of the cell vectors:
1 Co 0.000 0.000 0.000
2 Ir 0.500 0.500 0.000
3 Os 0.217 0.717 0.500
4 Os 0.783 0.283 0.500

Repeat the eleventh record exactly.
## Pm3Ho2Er5 (PBE)

Data for a relaxed structure of Pm3Ho2Er5.

Calculated values
DFT total energy ... -88.5 eV for the cell shown
Crystal system ... monoclinic
ΔE_f ... 0.20 eV/atom

abc: 9.541 9.541 9.381
angles: 108.37 108.37 112.21
Sites, in units of the cell vectors:
1 Pm 0.022 0.269 0.046
2 Pm 0.234 0.766 0.750
3 Pm 0.269 0.022 0.546
4 Pm 0.731 0.978 0.454
5 Pm 0.766 0.234 0.250
6 Pm 0.978 0.731 0.954
7 Ho 0.231 0.466 0.452
8 Ho 0.466 0.231 0.952
9 Ho 0.534 0.769 0.048
10 Ho 0.769 0.534 0.548
11 Er 0.027 0.973 0.750
12 Er 0.147 0.371 0.767
13 Er 0.272 0.728 0.250
14 Er 0.371 0.147 0.267
15 Er 0.471 0.529 0.250
16 Er 0.529 0.471 0.750
17 Er 0.629 0.853 0.733
18 Er 0.728 0.272 0.750
19 Er 0.853 0.629 0.233
20 Er 0.973 0.027 0.250

Question: What is the DFT total energy in the seventh record?
Answer: -55.4 eV for the cell shown